# GGA-PBE InP2W, optimized geometry
data_InP2W
_chemical_formula_sum 'In2 P4 W2'
_symmetry_space_group_name_H-M 'I m m 2'
_symmetry_Int_Tables_number 44
_symmetry_space_group_name_Hall 'I 2 -2'
_cell_length_a 3.169
_cell_length_b 3.410
_cell_length_c 13.674
_cell_angle_alpha 90.00
_cell_angle_beta 90.00
_cell_angle_gamma 90.00
loop_
_atom_site_label
_atom_site_fract_x
_atom_site_fract_y
_atom_site_fract_z
In1 0.000 0.000 0.000
P1 0.000 0.000 0.625
P2 0.000 0.500 0.830
W1 0.000 0.500 0.258
# Size of the total moment ... 0.00 μB/f.u.
# Electronic total energy ... -6.541 eV/atom



# GGA-PBE InP2W, optimized geometry
data_InP2W
_chemical_formula_sum 'In2 P4 W2'
_symmetry_space_group_name_H-M 'A m m 2'
_symmetry_Int_Tables_number 38
_symmetry_space_group_name_Hall 'A 2 -2'
_cell_length_a 4.581
_cell_length_b 3.503
_cell_length_c 8.762
_cell_angle_alpha 90.00
_cell_angle_beta 90.00
_cell_angle_gamma 90.00
loop_
_atom_site_label
_atom_site_fract_x
_atom_site_fract_y
_atom_site_fract_z
In1 0.000 0.000 0.000
P1 0.000 0.000 0.280
P2 0.500 0.000 0.679
W1 0.500 0.000 0.388
# Size of the total moment ... 0.00 μB/f.u.
# Electronic total energy ... -6.460 eV/atom



# GGA-PBE InP2W, optimized geometry
data_InP2W
_chemical_formula_sum 'In1 P2 W1'
_symmetry_space_group_name_H-M 'P 4/m m m'
_symmetry_Int_Tables_number 123
_symmetry_space_group_name_Hall '-P 4 2'
_cell_length_a 3.092
_cell_length_b 3.092
_cell_length_c 7.374
_cell_angle_alpha 90.00
_cell_angle_beta 90.00
_cell_angle_gamma 90.00
loop_
_atom_site_label
_atom_site_fract_x
_atom_site_fract_y
_atom_site_fract_z
In1 0.000 0.000 0.000
P1 0.500 0.500 0.315
W1 0.000 0.000 0.500
# Size of the total moment ... 0.00 μB/f.u.
# Electronic total energy ... -6.642 eV/atom



# GGA-PBE Zr2InPW, optimized geometry
data_Zr2InPW
_chemical_formula_sum 'Zr2 In1 P1 W1'
_symmetry_space_group_name_H-M 'P 4/m m m'
_symmetry_Int_Tables_number 123
_symmetry_space_group_name_Hall '-P 4 2'
_cell_length_a 5.291
_cell_length_b 5.291
_cell_length_c 4.513
_cell_angle_alpha 90.00
_cell_angle_beta 90.00
_cell_angle_gamma 90.00
loop_
_atom_site_label
_atom_site_fract_x
_atom_site_fract_y
_atom_site_fract_z
Zr1 0.000 0.500 0.000
In1 0.000 0.000 0.000
P1 0.000 0.000 0.500
W1 0.500 0.500 0.500
# Size of the total moment ... 0.00 μB/f.u.
# Electronic total energy ... -5.832 eV/atom



# GGA-PBE YIn2P, optimized geometry
data_YIn2P
_chemical_formula_sum 'Y4 In8 P4'
_symmetry_space_group_name_H-M 'C m c m'
_symmetry_Int_Tables_number 63
_symmetry_space_group_name_Hall '-C 2c 2'
_cell_length_a 3.954
_cell_length_b 10.398
_cell_length_c 9.253
_cell_angle_alpha 90.00
_cell_angle_beta 90.00
_cell_angle_gamma 90.00
loop_
_atom_site_label
_atom_site_fract_x
_atom_site_fract_y
_atom_site_fract_z
Y1 0.000 0.042 0.250
In1 0.000 0.358 0.057
P1 0.000 0.266 0.750
# Size of the total moment ... 0.00 μB/f.u.
# Electronic total energy ... -4.715 eV/atom



# GGA-PBE YIn2P, optimized geometry
data_YIn2P
_chemical_formula_sum 'Y2 In4 P2'
_symmetry_space_group_name_H-M 'C 1 m 1'
_symmetry_Int_Tables_number 8
_symmetry_space_group_name_Hall 'C -2y'
_cell_length_a 9.849
_cell_length_b 3.920
_cell_length_c 5.449
_cell_angle_alpha 90.00
_cell_angle_beta 110.79
_cell_angle_gamma 90.00
loop_
_atom_site_label
_atom_site_fract_x
_atom_site_fract_y
_atom_site_fract_z
Y1 0.000 0.000 0.000
In1 0.196 0.000 0.629
In2 0.418 0.000 0.391
P1 0.214 0.500 0.984
# Size of the total moment ... 0.00 μB/f.u.
# Electronic total energy ... -4.824 eV/atom



# GGA-PBE YIn2P, optimized geometry
data_YIn2P
_chemical_formula_sum 'Y4 In8 P4'
_symmetry_space_group_name_H-M 'I -4 2 d'
_symmetry_Int_Tables_number 122
_symmetry_space_group_name_Hall 'I -4 2bw'
_cell_length_a 8.273
_cell_length_b 8.273
_cell_length_c 5.792
_cell_angle_alpha 90.00
_cell_angle_beta 90.00
_cell_angle_gamma 90.00
loop_
_atom_site_label
_atom_site_fract_x
_atom_site_fract_y
_atom_site_fract_z
Y1 0.000 0.000 0.000
In1 0.204 0.250 0.625
P1 0.000 0.000 0.500
# Size of the total moment ... 0.00 μB/f.u.
# Electronic total energy ... -4.653 eV/atom



# GGA-PBE Y2InP, optimized geometry
data_Y2InP
_chemical_formula_sum 'Y6 In3 P3'
_symmetry_space_group_name_H-M 'R 3 m'
_symmetry_Int_Tables_number 160
_symmetry_space_group_name_Hall 'R 3 -2"'
_cell_length_a 3.8623
_cell_length_b 3.8623
_cell_length_c 25.7678
_cell_angle_alpha 90.00
_cell_angle_beta 90.00
_cell_angle_gamma 120.00
loop_
_atom_site_label
_atom_site_fract_x
_atom_site_fract_y
_atom_site_fract_z
Y1 0.0000 0.0000 0.0000
Y2 0.0000 0.0000 0.2236
In1 0.0000 0.0000 0.7665
P1 0.0000 0.0000 0.4910
# Size of the total moment ... 1.17 μB/f.u.
# Energy above the most stable polymorph in this dataset ... 654 meV per atom



# GGA-PBE Y2InP, optimized geometry
data_Y2InP
_chemical_formula_sum 'Y4 In2 P2'
_symmetry_space_group_name_H-M 'C m m 2'
_symmetry_Int_Tables_number 35
_symmetry_space_group_name_Hall 'C 2 -2'
_cell_length_a 4.451
_cell_length_b 5.608
_cell_length_c 8.351
_cell_angle_alpha 90.00
_cell_angle_beta 90.00
_cell_angle_gamma 90.00
loop_
_atom_site_label
_atom_site_fract_x
_atom_site_fract_y
_atom_site_fract_z
Y1 0.000 0.000 0.000
Y2 0.000 0.500 0.341
In1 0.000 0.000 0.608
P1 0.000 0.500 0.816
# Size of the total moment ... 0.00 μB/f.u.
# Energy above the most stable polymorph in this dataset ... 658 meV per atom



# GGA-PBE Y2InP, optimized geometry
data_Y2InP
_chemical_formula_sum 'Y4 In2 P2'
_symmetry_space_group_name_H-M 'I -4 m 2'
_symmetry_Int_Tables_number 119
_symmetry_space_group_name_Hall 'I -4 -2'
_cell_length_a 4.245
_cell_length_b 4.245
_cell_length_c 10.829
_cell_angle_alpha 90.00
_cell_angle_beta 90.00
_cell_angle_gamma 90.00
loop_
_atom_site_label
_atom_site_fract_x
_atom_site_fract_y
_atom_site_fract_z
Y1 0.000 0.000 0.000
Y2 0.000 0.500 0.250
In1 0.000 0.500 0.750
P1 0.000 0.000 0.500
# Size of the total moment ... 0.00 μB/f.u.
# Energy above the most stable polymorph in this dataset ... 395 meV per atom



# GGA-PBE YInP2, optimized geometry
data_YInP2
_chemical_formula_sum 'Y2 In2 P4'
_symmetry_space_group_name_H-M 'I m m 2'
_symmetry_Int_Tables_number 44
_symmetry_space_group_name_Hall 'I 2 -2'
_cell_length_a 3.728
_cell_length_b 3.777
_cell_length_c 12.544
_cell_angle_alpha 90.00
_cell_angle_beta 90.00
_cell_angle_gamma 90.00
loop_
_atom_site_label
_atom_site_fract_x
_atom_site_fract_y
_atom_site_fract_z
Y1 0.000 0.000 0.000
In1 0.000 0.500 0.750
P1 0.000 0.000 0.421
P2 0.000 0.500 0.168
# Size of the total moment ... 0.00 μB/f.u.
# Electronic total energy ... -5.535 eV/atom



# GGA-PBE YInP2, optimized geometry
data_YInP2
_chemical_formula_sum 'Y4 In4 P8'
_symmetry_space_group_name_H-M 'I -4 2 d'
_symmetry_Int_Tables_number 122
_symmetry_space_group_name_Hall 'I -4 2bw'
_cell_length_a 6.241
_cell_length_b 6.241
_cell_length_c 11.866
_cell_angle_alpha 90.00
_cell_angle_beta 90.00
_cell_angle_gamma 90.00
loop_
_atom_site_label
_atom_site_fract_x
_atom_site_fract_y
_atom_site_fract_z
Y1 0.000 0.000 0.000
In1 0.000 0.000 0.500
P1 0.232 0.250 0.625
# Size of the total moment ... 0.00 μB/f.u.
# Electronic total energy ... -5.596 eV/atom



# GGA-PBE YInP2, optimized geometry
data_YInP2
_chemical_formula_sum 'Y2 In2 P4'
_symmetry_space_group_name_H-M 'P 63/m m c'
_symmetry_Int_Tables_number 194
_symmetry_space_group_name_Hall '-P 6c 2c'
_cell_length_a 4.5299
_cell_length_b 4.5299
_cell_length_c 9.5052
_cell_angle_alpha 90.00
_cell_angle_beta 90.00
_cell_angle_gamma 120.00
loop_
_atom_site_label
_atom_site_fract_x
_atom_site_fract_y
_atom_site_fract_z
Y1 0.3333 0.6667 0.2500
In1 0.0000 0.0000 0.0000
P1 0.3333 0.6667 0.5924
# Size of the total moment ... 0.00 μB/f.u.
# Electronic total energy ... -5.349 eV/atom



# GGA-PBE Y2InP, optimized geometry
data_Y2InP
_chemical_formula_sum 'Y4 In2 P2'
_symmetry_space_group_name_H-M 'C m m m'
_symmetry_Int_Tables_number 65
_symmetry_space_group_name_Hall '-C 2 2'
_cell_length_a 4.554
_cell_length_b 5.236
_cell_length_c 8.127
_cell_angle_alpha 90.00
_cell_angle_beta 90.00
_cell_angle_gamma 90.00
loop_
_atom_site_label
_atom_site_fract_x
_atom_site_fract_y
_atom_site_fract_z
Y1 0.000 0.000 0.211
In1 0.000 0.500 0.500
P1 0.000 0.500 0.000
# Size of the total moment ... 0.00 μB/f.u.
# Energy above the most stable polymorph in this dataset ... 234 meV per atom



# GGA-PBE YInP2, optimized geometry
data_YInP2
_chemical_formula_sum 'Y1 In1 P2'
_symmetry_space_group_name_H-M 'P 1 2/m 1'
_symmetry_Int_Tables_number 10
_symmetry_space_group_name_Hall '-P 2y'
_cell_length_a 3.809
_cell_length_b 3.840
_cell_length_c 6.328
_cell_angle_alpha 90.00
_cell_angle_beta 99.28
_cell_angle_gamma 90.00
loop_
_atom_site_label
_atom_site_fract_x
_atom_site_fract_y
_atom_site_fract_z
Y1 0.000 0.000 0.000
In1 0.000 0.000 0.500
P1 0.471 0.500 0.820
# Size of the total moment ... 0.00 μB/f.u.
# Electronic total energy ... -5.580 eV/atom



# GGA-PBE YInP2, optimized geometry
data_YInP2
_chemical_formula_sum 'Y2 In2 P4'
_symmetry_space_group_name_H-M 'C 1 2/m 1'
_symmetry_Int_Tables_number 12
_symmetry_space_group_name_Hall '-C 2y'
_cell_length_a 6.475
_cell_length_b 6.808
_cell_length_c 3.641
_cell_angle_alpha 90.00
_cell_angle_beta 90.11
_cell_angle_gamma 90.00
loop_
_atom_site_label
_atom_site_fract_x
_atom_site_fract_y
_atom_site_fract_z
Y1 0.000 0.000 0.000
In1 0.000 0.500 0.000
P1 0.250 0.250 0.500
# Size of the total moment ... 0.00 μB/f.u.
# Electronic total energy ... -5.507 eV/atom



# GGA-PBE Y2InP, optimized geometry
data_Y2InP
_chemical_formula_sum 'Y4 In2 P2'
_symmetry_space_group_name_H-M 'C m m m'
_symmetry_Int_Tables_number 65
_symmetry_space_group_name_Hall '-C 2 2'
_cell_length_a 6.561
_cell_length_b 7.891
_cell_length_c 3.688
_cell_angle_alpha 90.00
_cell_angle_beta 90.00
_cell_angle_gamma 90.00
loop_
_atom_site_label
_atom_site_fract_x
_atom_site_fract_y
_atom_site_fract_z
Y1 0.250 0.250 0.000
In1 0.000 0.000 0.500
P1 0.000 0.500 0.500
# Size of the total moment ... 0.35 μB/f.u.
# Energy above the most stable polymorph in this dataset ... 405 meV per atom



# GGA-PBE YInP2, optimized geometry
data_YInP2
_chemical_formula_sum 'Y1 In1 P2'
_symmetry_space_group_name_H-M 'P 4/m m m'
_symmetry_Int_Tables_number 123
_symmetry_space_group_name_Hall '-P 4 2'
_cell_length_a 3.800
_cell_length_b 3.800
_cell_length_c 6.286
_cell_angle_alpha 90.00
_cell_angle_beta 90.00
_cell_angle_gamma 90.00
loop_
_atom_site_label
_atom_site_fract_x
_atom_site_fract_y
_atom_site_fract_z
Y1 0.000 0.000 0.000
In1 0.000 0.000 0.500
P1 0.500 0.500 0.182
# Size of the total moment ... 0.00 μB/f.u.
# Electronic total energy ... -5.575 eV/atom



# GGA-PBE YInP3, optimized geometry
data_YInP3
_chemical_formula_sum 'Y1 In1 P3'
_symmetry_space_group_name_H-M 'P m -3 m'
_symmetry_Int_Tables_number 221
_symmetry_space_group_name_Hall '-P 4 2 3'
_cell_length_a 4.960
_cell_length_b 4.960
_cell_length_c 4.960
_cell_angle_alpha 90.00
_cell_angle_beta 90.00
_cell_angle_gamma 90.00
loop_
_atom_site_label
_atom_site_fract_x
_atom_site_fract_y
_atom_site_fract_z
Y1 0.000 0.000 0.000
In1 0.500 0.500 0.500
P1 0.000 0.500 0.500
# Size of the total moment ... 0.00 μB/f.u.
# Energy above the most stable polymorph in this dataset ... 0 meV per atom



# GGA-PBE YIn2P, optimized geometry
data_YIn2P
_chemical_formula_sum 'Y1 In2 P1'
_symmetry_space_group_name_H-M 'P 4 m m'
_symmetry_Int_Tables_number 99
_symmetry_space_group_name_Hall 'P 4 -2'
_cell_length_a 3.869
_cell_length_b 3.869
_cell_length_c 7.155
_cell_angle_alpha 90.00
_cell_angle_beta 90.00
_cell_angle_gamma 90.00
loop_
_atom_site_label
_atom_site_fract_x
_atom_site_fract_y
_atom_site_fract_z
Y1 0.000 0.000 0.000
In1 0.000 0.000 0.547
In2 0.500 0.500 0.319
P1 0.500 0.500 0.945
# Size of the total moment ... 0.00 μB/f.u.
# Electronic total energy ... -4.881 eV/atom